No. 1
The following is a DFT calculation (GGA-PBE) of an optimized crystal structure of ErGeTe2.

DOS at the Fermi energy	0.764	states/eV/atom
crystal system	trigonal
calculated total energy	-17.69	eV per cell

Unit cell a=7.3444 b=7.3444 c=7.3444 alpha=34.86 beta=34.86 gamma=34.86
Closest atoms and distances in Å follow each position.
Atoms (fractional coordinates):
Er (0.0000, 0.0000, 0.0000)  6 Te 3.11
Ge (0.5000, 0.5000, 0.5000)  6 Te 3.03
Te (0.2468, 0.2468, 0.2468)  3 Ge 3.03, 3 Er 3.11
Te (0.7532, 0.7532, 0.7532)  3 Ge 3.03, 3 Er 3.11

***

No. 2
The following is a DFT calculation (GGA-PBE) of an optimized crystal structure of Rb2NpAsS5.

DOS at the Fermi energy	0.604	states/eV/atom
crystal system	orthorhombic
calculated total energy	-96.60	eV per cell

Unit cell a=9.4739 b=9.4739 c=14.5737 alpha=90.00 beta=90.00 gamma=154.31
Closest atoms and distances in Å follow each position.
Atoms (fractional coordinates):
Rb (0.1050, 0.8950, 0.5000)  6 S 3.38-3.55
Rb (0.1385, 0.8615, 0.1541)  7 S 3.41-3.70
Rb (0.8615, 0.1385, 0.6541)  7 S 3.41-3.70
Rb (0.8950, 0.1050, 0.0000)  6 S 3.38-3.55
Np (0.2024, 0.7976, 0.8722)  4 S 2.46-2.67
Np (0.7976, 0.2024, 0.3722)  4 S 2.46-2.67
As (0.4492, 0.5508, 0.2703)  2 S 2.18-2.34
As (0.5508, 0.4492, 0.7703)  2 S 2.18-2.34
S (0.0639, 0.9361, 0.8843)  1 Np 2.56, 2 As 2.69
S (0.2876, 0.7124, 0.4841)  2 Np 2.67
S (0.3235, 0.6765, 0.2508)  1 As 2.34
S (0.3319, 0.6681, 0.8342)  1 Np 2.46
S (0.4930, 0.5070, 0.1316)  1 As 2.18
S (0.5070, 0.4930, 0.6316)  1 As 2.18
S (0.6681, 0.3319, 0.3342)  1 Np 2.46
S (0.6765, 0.3235, 0.7508)  1 As 2.34
S (0.7124, 0.2876, 0.9841)  2 Np 2.67
S (0.9361, 0.0639, 0.3843)  1 Np 2.56, 2 As 2.69

***

No. 3
The following is a DFT calculation (GGA-PBE) of an optimized crystal structure of GaAg2AsSe4.

crystal system	tetragonal
calculated total energy	-28.99	eV per cell

Unit cell a=7.2689 b=7.2689 c=7.2689 alpha=130.30 beta=130.30 gamma=72.92
Closest atoms and distances in Å follow each position.
Atoms (fractional coordinates):
Ga (0.0000, 0.0000, 0.0000)  4 Se 2.46
Ag (0.5000, 0.5000, 0.0000)  4 Se 2.69
Ag (0.7500, 0.2500, 0.5000)  4 Se 2.66
As (0.2500, 0.7500, 0.5000)  4 Se 2.63
Se (0.1174, 0.1124, 0.4689)  1 Ga 2.46, 1 As 2.63, 2 Ag 2.66-2.69
Se (0.3516, 0.8826, 0.9950)  1 Ga 2.46, 1 As 2.63, 2 Ag 2.66-2.69
Se (0.6435, 0.6484, 0.5311)  1 Ga 2.46, 1 As 2.63, 2 Ag 2.66-2.69
Se (0.8876, 0.3565, 0.0050)  1 Ga 2.46, 1 As 2.63, 2 Ag 2.66-2.69